Here is a PBEsol-optimized structure of LaRe3 from the Alexandria database. Energies are from SCAN.

It has space group Imm2 (No. 44), with a = 2.933 Å, b = 9.467 Å, c = 5.077 Å, α = 90.00°, β = 90.00° and γ = 90.00°. The distinct sites, in fractional coordinates, are La at (0.000, 0.000, 0.000), Re at (0.000, 0.221, 0.411) and Re at (0.000, 0.500, 0.019).

Its formation energy is 658 meV per atom. As for the distance to the lowest polymorph of the same formula: 284 meV/atom. For the total magnetization, the calculation gives 0.0 μB per cell.